# PBE-GGA LuCuPbSe3, relaxed
# Formation energy (no corrections) in eV per atom: -0.993
data_LuCuPbSe3
_symmetry_space_group_name_H-M 'P n m a'
_symmetry_Int_Tables_number 62
_cell_length_a 10.4849
_cell_length_b 4.0276
_cell_length_c 13.6488
_cell_angle_alpha 90.00
_cell_angle_beta 90.00
_cell_angle_gamma 90.00
loop_
_symmetry_equiv_pos_as_xyz
'x,y,z'
'-x,-y,-z'
'-x+1/2,-y,z+1/2'
'x+1/2,y,-z+1/2'
'x+1/2,-y+1/2,-z+1/2'
'-x+1/2,y+1/2,z+1/2'
'-x,y+1/2,-z'
'x,-y+1/2,z'
loop_
_atom_site_label
_atom_site_type_symbol
_atom_site_fract_x
_atom_site_fract_y
_atom_site_fract_z
_atom_site_occupancy
Lu1 Lu 0.0205 0.2500 0.2448 1
Cu1 Cu 0.2372 0.2500 0.7204 1
Pb1 Pb 0.2259 0.7500 0.5068 1
Se1 Se 0.0430 0.2500 0.6161 1
Se2 Se 0.0811 0.7500 0.1089 1
Se3 Se 0.2325 0.7500 0.8293 1

# PBE-GGA Y2C3, relaxed
# Energy relative to the elements in eV/atom: 0.119
# Excess energy over the best structure of this formula in the dataset in kJ per mole of atoms: 36.3
data_Y2C3
_symmetry_space_group_name_H-M 'F d d 2'
_symmetry_Int_Tables_number 43
_symmetry_space_group_name_Hall 'F 2 -2d'
_cell_length_a 9.3579
_cell_length_b 10.2956
_cell_length_c 8.5001
_cell_angle_alpha 90.00
_cell_angle_beta 90.00
_cell_angle_gamma 90.00
loop_
_atom_site_label
_atom_site_type_symbol
_atom_site_fract_x
_atom_site_fract_y
_atom_site_fract_z
_atom_site_occupancy
Y1 Y 0.0131 0.2671 0.0000 1
C1 C 0.0000 0.0000 0.4870 1
C2 C 0.1110 0.2769 0.7386 1

no.,total DFT energy (no corrections) (eV/f.u.),mass density (Mg/m³)
1,-28.74,7.87
2,-40.01,3.47